No. 1
An optimized crystal structure of BeTlSb2, computed with GGA-PBE.

POSCAR file:
```
BeTlSb2
1.0
5.805 0.007 0.022
-2.219 5.364 0.022
0.467 0.699 3.198
Sb Tl Be
2 1 1
direct
0.000 0.000 0.000
0.500 0.500 0.000
0.500 0.000 0.500
0.000 0.500 0.500
```

Output
ρ: 7.6 g/cm³
Formation energy (no corrections): 0.60 eV per atom
Total energy: -2.98 eV/atom
Distance to the lowest polymorph of the same formula: 412 meV per atom
V: 24.86 Å³/atom

=====

No. 2
An optimized crystal structure of BeTl2Sb, computed with GGA-PBE.

POSCAR file:
```
BeTl2Sb
1.0
-7.188 3.520 -2.033
-8.048 1.581 0.965
-0.001 3.124 2.020
Sb Tl Be
1 2 1
direct
0.250 0.250 0.250
0.078 0.078 0.921
0.422 0.422 0.579
0.750 0.750 0.750
```

Output
ρ: 8.4 g/cm³
Formation energy (no corrections): 0.27 eV per atom
Total energy: -2.87 eV/atom
Distance to the lowest polymorph of the same formula: 164 meV per atom
V: 26.76 Å³/atom

=====

No. 3
An optimized crystal structure of Be3TlSb, computed with GGA-PBE.

POSCAR file:
```
Be3TlSb
1.0
-0.076 -2.818 -3.667
-3.660 -2.206 1.771
-2.827 2.931 -2.193
Sb Tl Be
1 1 3
direct
0.500 0.500 0.500
0.000 0.000 0.000
0.000 0.500 0.000
0.000 0.000 0.500
0.500 0.000 0.000
```

Output
ρ: 5.9 g/cm³
Formation energy (no corrections): 1.17 eV per atom
Total energy: -2.36 eV/atom
Distance to the lowest polymorph of the same formula: 58 meV per atom
V: 19.79 Å³/atom

=====

No. 4
An optimized crystal structure of BeTl2Sb, computed with GGA-PBE.

POSCAR file:
```
BeTl2Sb
1.0
4.026 0.000 0.000
0.000 3.403 0.001
0.000 1.644 7.774
Sb Tl Be
1 2 1
direct
0.500 0.597 0.686
0.000 0.933 0.991
0.500 0.278 0.317
0.000 0.692 0.507
```

Output
ρ: 8.4 g/cm³
Formation energy (no corrections): 0.28 eV per atom
Total energy: -2.86 eV/atom
Distance to the lowest polymorph of the same formula: 174 meV per atom
V: 26.63 Å³/atom

=====

No. 5
An optimized crystal structure of BeTlSb2, computed with GGA-PBE.

POSCAR file:
```
BeTlSb2
1.0
-3.448 -4.386 1.274
3.073 -4.285 -2.224
0.292 3.928 4.151
Sb Tl Be
2 1 1
direct
0.072 0.072 0.000
0.428 0.428 0.000
0.750 0.250 0.500
0.250 0.750 0.500
```

Output
ρ: 7.1 g/cm³
Formation energy (no corrections): 0.32 eV per atom
Total energy: -3.26 eV/atom
Distance to the lowest polymorph of the same formula: 132 meV per atom
V: 26.75 Å³/atom

=====

No. 6
An optimized crystal structure of Be2TlSb, computed with GGA-PBE.

POSCAR file:
```
Be2TlSb
1.0
3.440 0.000 0.000
0.000 3.530 0.000
0.000 0.000 6.615
Sb Tl Be
1 1 2
direct
0.500 0.500 0.250
0.500 0.500 0.750
0.000 0.000 0.083
0.000 0.000 0.417
```

Output
ρ: 7.1 g/cm³
Formation energy (no corrections): 0.67 eV per atom
Total energy: -2.81 eV/atom
Distance to the lowest polymorph of the same formula: 398 meV per atom
V: 20.09 Å³/atom

=====

No. 7
An optimized crystal structure of Be2TlSb, computed with GGA-PBE.

POSCAR file:
```
Be2TlSb
1.0
-4.664 -2.511 -3.945
-2.619 -6.036 -0.570
1.794 4.904 4.043
Sb Tl Be
1 1 2
direct
0.485 0.485 0.000
0.231 0.731 0.500
0.934 0.934 0.000
0.850 0.350 0.500
```

Output
ρ: 6.7 g/cm³
Formation energy (no corrections): 0.45 eV per atom
Total energy: -3.03 eV/atom
Distance to the lowest polymorph of the same formula: 177 meV per atom
V: 21.18 Å³/atom

=====

No. 8
An optimized crystal structure of Be2TlSb, computed with GGA-PBE.

POSCAR file:
```
Be2TlSb
1.0
4.660 0.058 0.000
-0.056 4.660 0.000
0.000 0.000 3.495
Sb Tl Be
1 1 2
direct
0.500 0.000 0.500
0.000 0.500 0.500
0.000 0.000 0.000
0.500 0.500 0.000
```

Output
ρ: 7.5 g/cm³
Formation energy (no corrections): 0.79 eV per atom
Total energy: -2.69 eV/atom
Distance to the lowest polymorph of the same formula: 517 meV per atom
V: 18.98 Å³/atom